Material: Th4In5Pb
Method: DFT, GGA-PBE
State: relaxed

Cell and atoms, written as POSCAR:
```
Th4In5Pb
1.0
8.089 0.000 0.000
0.000 10.681 0.000
0.000 0.000 7.023
Th In Pb
8 10 2
Cartesian
6.548 0.000 5.274
4.021 7.303 0.000
4.021 3.378 0.000
6.548 0.000 1.749
1.541 5.340 1.763
4.069 8.718 3.512
4.069 1.963 3.512
1.541 5.340 5.260
1.321 8.640 5.539
1.321 2.041 5.539
6.776 5.340 0.000
1.321 8.640 1.484
1.321 2.041 1.484
6.769 7.382 2.027
6.769 3.299 2.027
1.313 0.000 3.512
6.769 3.299 4.996
6.769 7.382 4.996
3.650 0.000 0.000
4.439 5.340 3.512
```

Computed properties:
Symmetry: Pmmn, No. 59
Energy of formation from the pure elements in eV per atom: -0.032
D(E_F) in states/eV/f.u.: 8.11